Record 1
VASP calculation (PBE-GGA) on an optimized crystal structure of Pm8HgGe3I4.

Values from the calculation:
Density (g/cm³): 6.947
Magnetic moment (μB/atom): 0.000
Formation energy without anion corrections (eV/atom): -0.9096

Cell: 8.763 9.046 8.762 Å, 118.97 120.00 90.00°
Atoms (fractional coordinates):
Ge 0.000 0.500 0.500
Ge 0.500 0.500 0.000
Ge 0.500 0.500 0.500
Pm 0.760 0.292 0.032
Pm 0.272 0.292 0.032
Pm 0.760 0.292 0.520
Pm 0.728 0.708 0.968
Pm 0.240 0.708 0.480
Pm 0.733 0.700 0.467
Pm 0.267 0.300 0.533
Pm 0.240 0.708 0.968
I 0.500 0.000 0.500
I 0.000 0.000 0.500
I 0.000 0.000 0.000
I 0.500 0.000 0.000
Hg 0.000 0.500 0.000

=====

Record 2
VASP calculation (PBE-GGA) on an optimized crystal structure of RbHgGeI2.

Values from the calculation:
Density (g/cm³): 4.978
Magnetic moment (μB/atom): 0.000
Formation energy without anion corrections (eV/atom): -0.5344

Cell: 6.109 6.109 5.474 Å, 90.00 90.00 90.00°
Atoms (fractional coordinates):
I 0.500 0.000 0.000
I 0.000 0.500 0.000
Hg 0.000 0.000 0.500
Ge 0.000 0.000 0.000
Rb 0.500 0.500 0.500